DFT (GGA-PBE) results for an optimized crystal structure of Sc2Re.

For the spin magnetization, the calculation gives 0.00 μB/atom. Its crystal system is orthorhombic. Its energy of formation from the pure elements is 0.0788 eV per atom.

POSCAR file:
```
Sc2Re
1.0
-2.1121 6.9845 4.0389
1.8214 -5.1997 -6.2611
-4.6116 -1.1905 -0.3529
Sc Re
4 2
Direct
0.5483 0.4517 0.7500
0.7847 0.2153 0.2500
0.2153 0.7847 0.7500
0.4517 0.5483 0.2500
0.8771 0.1229 0.7500
0.1229 0.8771 0.2500
```